CdSnSeO | PBE | relaxed

excess energy over the best structure of this formula in the dataset = 119.2 meV/atom
final energy = -4.021 eV per atom
crystal system = orthorhombic

Cell lengths 3.7283, 16.1797, 6.2146 Å; angles 90.00, 90.00, 90.00 degrees
Last column: nearest neighbours and their distance in Å.
Space group Cmc2_1 (No. 36)
One atom of each set of equivalent atoms:
1 Cd 0.0000 0.1748 0.0000 [4 per cell]  2 O 2.22
2 Sn 0.0000 0.4312 0.9224 [4 per cell]  1 O 2.06
3 Se 0.0000 0.1832 0.5681 [4 per cell]  3 Cd 2.69-2.99, 2 Sn 2.78
4 O 0.0000 0.3849 0.6145 [4 per cell]  1 Sn 2.06, 2 Cd 2.22

=====

LuNpIn | PBE | relaxed

total magnetization = 5.29 μB/f.u.
excess energy over the best structure of this formula in the dataset = 0.0 meV/atom
final energy = -6.194 eV per atom
crystal system = cubic

Cell lengths 7.2680, 7.2680, 7.2680 Å; angles 90.00, 90.00, 90.00 degrees
Last column: nearest neighbours and their distance in Å.
Space group F-43m (No. 216)
One atom of each set of equivalent atoms:
1 Lu 0.0000 0.0000 0.0000 [4 per cell]  4 In 3.15
2 Np 0.0000 0.0000 0.5000 [4 per cell]  4 In 3.15
3 In 0.2500 0.2500 0.2500 [4 per cell]  4 Np 3.15, 4 Lu 3.15

=====

Re2Ge2As | PBE | relaxed

total magnetization = 0.04 μB/f.u.
final energy = -7.255 eV per atom
crystal system = tetragonal

Cell lengths 3.5541, 3.5541, 12.8918 Å; angles 90.00, 90.00, 90.00 degrees
Last column: nearest neighbours and their distance in Å.
Space group I4/mmm (No. 139)
One atom of each set of equivalent atoms:
1 Re 0.0000 0.0000 0.1076 [4 per cell]  4 Ge 2.56, 1 Re 2.77
2 Ge 0.0000 0.5000 0.2500 [4 per cell]  4 Ge 2.51, 4 Re 2.56
3 As 0.0000 0.0000 0.5000 [2 per cell]  8 Re 2.87

=====

Gd4AsS3 | PBE | relaxed

total magnetization = 0.01 μB/f.u.
final energy = -6.376 eV per atom
crystal system = tetragonal

Cell lengths 5.6654, 5.6654, 11.3191 Å; angles 90.00, 90.00, 90.00 degrees
Last column: nearest neighbours and their distance in Å.
Space group I4/mmm (No. 139)
One atom of each set of equivalent atoms:
1 Gd 0.0000 0.0000 0.2487 [4 per cell]  5 S 2.81-2.83, 1 As 2.84
2 Gd 0.0000 0.5000 0.0000 [4 per cell]  4 S 2.83, 2 As 2.83
3 As 0.0000 0.0000 0.5000 [2 per cell]  6 Gd 2.83-2.84
4 S 0.0000 0.0000 0.0000 [2 per cell]  6 Gd 2.81-2.83
5 S 0.0000 0.5000 0.2500 [4 per cell]  6 Gd 2.83

=====

Ag2SnHgTeSe3 | PBE | relaxed

final energy = -3.166 eV per atom
crystal system = monoclinic

Cell lengths 8.8747, 8.7888, 7.6031 Å; angles 90.00, 125.14, 90.00 degrees
Last column: nearest neighbours and their distance in Å.
Space group Cm (No. 8)
One atom of each set of equivalent atoms:
1 Ag 0.0000 0.2387 0.0000 [4 per cell]  3 Se 2.66, 1 Te 2.77
2 Sn 0.4807 0.5000 0.4810 [2 per cell]  3 Se 2.61, 1 Te 2.80
3 Hg 0.4980 0.0000 0.4865 [2 per cell]  3 Se 2.73-2.77, 1 Te 2.85
4 Te 0.3670 0.0000 0.7516 [2 per cell]  2 Ag 2.77, 1 Sn 2.80, 1 Hg 2.85
5 Se 0.3649 0.2593 0.2338 [4 per cell]  1 Sn 2.61, 2 Ag 2.66, 1 Hg 2.77
6 Se 0.3743 0.5000 0.7369 [2 per cell]  1 Sn 2.61, 2 Ag 2.66, 1 Hg 2.73

=====

Hf3Sn4Au4 | PBE | relaxed

total magnetization = 0.01 μB/f.u.
excess energy over the best structure of this formula in the dataset = 91.9 meV/atom
final energy = -5.645 eV per atom
crystal system = monoclinic

Cell lengths 6.8874, 4.4284, 7.9892 Å; angles 90.00, 92.63, 90.00 degrees
Last column: nearest neighbours and their distance in Å.
Space group Pm (No. 6)
One atom of each set of equivalent atoms:
1 Hf 0.0000 0.0000 0.0000 [1 per cell]  6 Au 2.91-3.00, 2 Sn 3.14, 1 Hf 3.23
2 Hf 0.0342 0.5000 0.4270 [1 per cell]  6 Au 2.84-2.99
3 Hf 0.5316 0.0000 0.9651 [1 per cell]  6 Sn 2.91-3.08, 2 Au 3.09, 1 Hf 3.23
4 Sn 0.3022 0.5000 0.1108 [1 per cell]  3 Au 2.73-2.78, 2 Hf 2.99
5 Sn 0.3225 0.0000 0.6397 [1 per cell]  3 Au 2.67-2.83, 1 Hf 2.91
6 Sn 0.6961 0.0000 0.3299 [1 per cell]  4 Au 2.74-2.94
7 Sn 0.7078 0.5000 0.7766 [1 per cell]  4 Au 2.79-2.97, 2 Hf 2.97
8 Au 0.1399 0.5000 0.7859 [1 per cell]  4 Sn 2.78-2.97, 3 Hf 2.93-2.98, 2 Au 3.02
9 Au 0.2684 0.0000 0.3063 [1 per cell]  4 Sn 2.67-2.94, 2 Hf 2.93
10 Au 0.7829 0.5000 0.1348 [1 per cell]  3 Sn 2.79-2.89, 5 Hf 2.84-3.09
11 Au 0.8875 0.0000 0.6380 [1 per cell]  4 Sn 2.74-3.00, 3 Hf 2.96-2.99, 2 Au 3.02

=====

Among the records above, which one has the highest final energy?
Ag2SnHgTeSe3

=====

Which formula does entry 1 have?
CdSnSeO